The following is a GGA-PBE calculation of a geometry-optimized PuThGe structure, from the Alexandria database.

Cell lengths 5.111, 5.111, 6.613 Å; angles 90.00, 90.00, 120.00 degrees
Fractional coordinates of all 6 atoms:
Pu (0.333, 0.667, 0.250)
Pu (0.667, 0.333, 0.750)
Th (0.000, 0.000, 0.000)
Th (0.000, 0.000, 0.500)
Ge (0.333, 0.667, 0.750)
Ge (0.667, 0.333, 0.250)

- E_form (eV per atom) = -0.35
- total magnetization (μB per formula unit) = 6.65
- polymorph energy (0 for the lowest one) (eV/atom) = 0.1338
- DFT total energy (eV per cell) = -54.9
- N(E_F) (states/eV/cell) = 15.21

---

The following is a GGA-PBE calculation of a geometry-optimized Ba2NaGeRh structure, from the Alexandria database.

Cell lengths 6.189, 6.189, 4.801 Å; angles 90.00, 90.00, 90.00 degrees
Fractional coordinates of all 5 atoms:
Ba (0.000, 0.500, 0.000)
Ba (0.500, 0.000, 0.000)
Na (0.000, 0.000, 0.500)
Ge (0.500, 0.500, 0.500)
Rh (0.500, 0.500, 0.000)

- E_form (eV per atom) = -0.28
- total magnetization (μB per formula unit) = 0.00
- DFT total energy (eV per cell) = -18.5
- N(E_F) (states/eV/cell) = 3.95

---

The following is a GGA-PBE calculation of a geometry-optimized ErTiRh2 structure, from the Alexandria database.

Cell lengths 3.176, 3.176, 6.838 Å; angles 90.00, 90.00, 90.00 degrees
Fractional coordinates of all 4 atoms:
Er (0.000, 0.000, 0.000)
Ti (0.000, 0.000, 0.500)
Rh (0.500, 0.500, 0.284)
Rh (0.500, 0.500, 0.716)

- E_form (eV per atom) = -0.80
- total magnetization (μB per formula unit) = 0.00
- polymorph energy (0 for the lowest one) (eV/atom) = 0.0000
- DFT total energy (eV per cell) = -30.4
- N(E_F) (states/eV/cell) = 3.74

---

The following is a GGA-PBE calculation of a geometry-optimized LaFeNi3 structure, from the Alexandria database.

Cell lengths 4.637, 4.637, 4.637 Å; angles 90.00, 90.00, 90.00 degrees
Fractional coordinates of all 5 atoms:
La (0.000, 0.000, 0.000)
Fe (0.500, 0.500, 0.500)
Ni (0.000, 0.000, 0.500)
Ni (0.000, 0.500, 0.000)
Ni (0.500, 0.000, 0.000)

- E_form (eV per atom) = 1.80
- total magnetization (μB per formula unit) = 0.54
- polymorph energy (0 for the lowest one) (eV/atom) = 1.5877
- DFT total energy (eV per cell) = -21.8
- N(E_F) (states/eV/cell) = 10.65